# 1
DFT (GGA-PBE) results for an optimized crystal structure of Hf6P2H.

Properties
The value obtained for the total energy is -8.95 eV/atom.

POSCAR file:
```
Hf6P2H
1.0
5.5017 0.0000 0.0000
0.0000 6.7192 0.0000
-5.4485 0.0000 8.3450
Hf P H
12 4 2
direct
0.0880 0.1887 0.4563
0.0880 0.3113 0.9563
0.3231 0.6893 0.4551
0.3231 0.8107 0.9551
0.3824 0.0282 0.2547
0.3824 0.4718 0.7547
0.6176 0.5282 0.2453
0.6176 0.9718 0.7453
0.6769 0.1893 0.0449
0.6769 0.3107 0.5449
0.9120 0.6887 0.0437
0.9120 0.8113 0.5437
0.1591 0.1108 0.7504
0.1591 0.3892 0.2504
0.8409 0.6108 0.7496
0.8409 0.8892 0.2496
0.0000 0.0000 0.0000
0.0000 0.5000 0.5000
```

# 2
DFT (GGA-PBE) results for an optimized crystal structure of Co2OsRh.

Properties
The value obtained for the total energy is -7.85 eV/atom.

POSCAR file:
```
Co2OsRh
1.0
1.3605 -2.2382 0.0000
1.3605 2.2382 0.0000
0.0000 0.0000 8.6447
Co Os Rh
2 1 1
direct
0.0000 0.0000 0.2495
0.0000 0.0000 0.7505
0.5000 0.5000 0.0000
0.5000 0.5000 0.5000
```

# 3
DFT (GGA-PBE) results for an optimized crystal structure of CdPb2Au5.

Properties
The value obtained for the total energy is -3.13 eV/atom.

POSCAR file:
```
CdPb2Au5
1.0
-2.5061 2.5061 6.8911
2.5061 -2.5061 6.8911
2.5061 2.5061 -6.8911
Cd Pb Au
1 2 5
direct
0.0000 0.0000 0.0000
0.2585 0.2585 0.0000
0.7415 0.7415 0.0000
0.1089 0.6089 0.5000
0.3911 0.8911 0.5000
0.5000 0.5000 0.0000
0.6089 0.1089 0.5000
0.8911 0.3911 0.5000
```

# 4
DFT (GGA-PBE) results for an optimized crystal structure of GdMg2Zr.

Properties
The value obtained for the total energy is -6.44 eV/atom.

POSCAR file:
```
GdMg2Zr
1.0
3.6088 0.0000 0.0000
0.0000 3.6088 0.0000
0.0000 0.0000 7.5525
Gd Mg Zr
1 2 1
direct
0.0000 0.0000 0.0000
0.5000 0.5000 0.2724
0.5000 0.5000 0.7276
0.0000 0.0000 0.5000
```

# 5
DFT (GGA-PBE) results for an optimized crystal structure of CaBe2HOs.

Properties
The value obtained for the total energy is -3.24 eV/atom.

POSCAR file:
```
CaBe2HOs
1.0
4.5482 0.0000 0.0000
0.0000 4.5482 0.0000
0.0000 0.0000 3.1535
Ca Be H Os
1 2 1 1
direct
0.0000 0.0000 0.0000
0.0000 0.5000 0.0000
0.5000 0.0000 0.0000
0.0000 0.0000 0.5000
0.5000 0.5000 0.5000
```

# 6
DFT (GGA-PBE) results for an optimized crystal structure of Dy4Er2ThSc.

Properties
The value obtained for the total energy is -5.01 eV/atom.

POSCAR file:
```
Dy4Er2ThSc
1.0
5.7997 0.0000 0.0000
0.0000 5.7997 0.0000
0.0000 0.0000 7.2925
Dy Er Th Sc
4 2 1 1
direct
0.0000 0.5000 0.2416
0.0000 0.5000 0.7584
0.5000 0.0000 0.2416
0.5000 0.0000 0.7584
0.0000 0.0000 0.0000
0.5000 0.5000 0.5000
0.0000 0.0000 0.5000
0.5000 0.5000 0.0000
```

# 7
DFT (GGA-PBE) results for an optimized crystal structure of La2Nd2Y4Sc.

Properties
The value obtained for the total energy is -5.71 eV/atom.

POSCAR file:
```
La2Nd2Y4Sc
1.0
9.4030 -1.8199 0.0000
9.4030 1.8199 0.0000
-4.1489 0.0000 8.7098
La Nd Y Sc
2 2 4 1
direct
0.1618 0.1618 0.4985
0.8382 0.8382 0.5015
0.3530 0.3530 0.8358
0.6470 0.6470 0.1642
0.0200 0.0200 0.8278
0.3156 0.3156 0.1647
0.6844 0.6844 0.8353
0.9800 0.9800 0.1722
0.5000 0.5000 0.5000
```

# 8
DFT (GGA-PBE) results for an optimized crystal structure of Ti3Sn2O.

Properties
The formation energy (no corrections) is -0.929 eV/atom.

POSCAR file:
```
Ti3Sn2O
1.0
5.0051 -3.8109 0.0000
5.0051 3.8109 0.0000
0.0000 0.0000 5.6015
Ti Sn O
6 4 2
direct
0.1773 0.8227 0.7500
0.3587 0.3587 0.0000
0.3587 0.3587 0.5000
0.6413 0.6413 0.0000
0.6413 0.6413 0.5000
0.8227 0.1773 0.2500
0.0240 0.6797 0.2500
0.3203 0.9760 0.2500
0.6797 0.0240 0.7500
0.9760 0.3203 0.7500
0.4518 0.5482 0.7500
0.5482 0.4518 0.2500
```

# 9
DFT (GGA-PBE) results for an optimized crystal structure of Mn2CoSi.

Properties
The formation energy (no corrections) is -0.207 eV/atom.

POSCAR file:
```
Mn2CoSi
1.0
2.5180 -3.4242 0.0000
2.5180 3.4242 0.0000
0.0000 0.0000 2.6611
Mn Co Si
2 1 1
direct
0.0000 0.5000 0.0000
0.5000 0.0000 0.0000
0.0000 0.0000 0.5000
0.5000 0.5000 0.5000
```

# 10
DFT (GGA-PBE) results for an optimized crystal structure of Ta3CdIr.

Properties
The value obtained for the total energy is -8.10 eV/atom.

POSCAR file:
```
Ta3CdIr
1.0
4.8772 0.0000 0.0000
0.0000 4.8772 0.0000
0.0000 0.0000 4.8772
Ta Cd Ir
3 1 1
direct
0.0000 0.0000 0.5000
0.0000 0.5000 0.0000
0.5000 0.0000 0.0000
0.5000 0.5000 0.5000
0.0000 0.0000 0.0000
```

# 11
DFT (GGA-PBE) results for an optimized crystal structure of Ag2TeSe2.

Properties
The formation energy (no corrections) is 0.074 eV/atom.

POSCAR file:
```
Ag2TeSe2
1.0
4.6233 -5.0164 0.0000
4.6233 5.0164 0.0000
-3.4061 0.0000 5.3080
Ag Te Se
4 2 4
direct
0.0647 0.9353 0.7500
0.3541 0.6459 0.2500
0.6459 0.3541 0.7500
0.9353 0.0647 0.2500
0.3534 0.6466 0.7500
0.6466 0.3534 0.2500
0.0532 0.3400 0.7439
0.3400 0.0532 0.2439
0.6600 0.9468 0.7561
0.9468 0.6600 0.2561
```

# 12
DFT (GGA-PBE) results for an optimized crystal structure of Pm6C2Cl3F.

Properties
The formation energy (no corrections) is -1.309 eV/atom.

POSCAR file:
```
Pm6C2Cl3F
1.0
3.2438 -5.6323 0.0000
3.2438 5.6323 0.0000
-2.1723 0.0000 7.0279
Pm C Cl F
6 2 3 1
direct
0.0864 0.4355 0.8053
0.2168 0.2168 0.1943
0.4355 0.0864 0.8053
0.5645 0.9136 0.1947
0.7832 0.7832 0.8057
0.9136 0.5645 0.1947
0.1660 0.8340 0.0000
0.8340 0.1660 0.0000
0.0000 0.0000 0.5000
0.3305 0.6695 0.5000
0.6695 0.3305 0.5000
0.5000 0.5000 0.0000
```

# 13
DFT (GGA-PBE) results for an optimized crystal structure of LaPaH2.

Properties
The value obtained for the total energy is -5.49 eV/atom.

POSCAR file:
```
LaPaH2
1.0
1.7590 1.0156 5.9949
-1.7590 1.0156 5.9949
0.0000 -2.0311 5.9949
La Pa H
1 1 2
direct
0.0000 0.0000 0.0000
0.5000 0.5000 0.5000
0.2423 0.2423 0.2423
0.7577 0.7577 0.7577
```

# 14
DFT (GGA-PBE) results for an optimized crystal structure of Tb2NdMg5.

Properties
The value obtained for the total energy is -2.84 eV/atom.

POSCAR file:
```
Tb2NdMg5
1.0
-2.6441 2.6441 7.6422
2.6441 -2.6441 7.6422
2.6441 2.6441 -7.6422
Tb Nd Mg
2 1 5
direct
0.2412 0.2412 0.0000
0.7588 0.7588 0.0000
0.5000 0.5000 0.0000
0.0000 0.0000 0.0000
0.1215 0.6215 0.5000
0.3785 0.8785 0.5000
0.6215 0.1215 0.5000
0.8785 0.3785 0.5000
```

# 15
DFT (GGA-PBE) results for an optimized crystal structure of TeSeBr2.

Properties
The formation energy (no corrections) is 0.341 eV/atom.

POSCAR file:
```
TeSeBr2
1.0
3.6597 0.0000 0.0000
0.0000 4.5083 0.0000
0.0000 0.0000 6.8794
Te Se Br
1 1 2
direct
0.0000 0.0000 0.0000
0.5000 0.0000 0.5000
0.0000 0.5000 0.5000
0.5000 0.5000 0.0000
```

# 16
DFT (GGA-PBE) results for an optimized crystal structure of Pr2ErTm8.

Properties
The value obtained for the total energy is -4.36 eV/atom.

POSCAR file:
```
Pr2ErTm8
1.0
8.1937 -3.2800 0.0000
8.1937 3.2800 0.0000
-1.2012 0.0000 6.5222
Pr Er Tm
2 1 8
direct
0.2456 0.2456 0.3127
0.7544 0.7544 0.6873
0.0000 0.0000 0.0000
0.1751 0.6548 0.6016
0.1977 0.1977 0.8032
0.3452 0.8249 0.3984
0.4114 0.4114 0.0928
0.5886 0.5886 0.9072
0.6548 0.1751 0.6016
0.8023 0.8023 0.1968
0.8249 0.3452 0.3984
```

# 17
DFT (GGA-PBE) results for an optimized crystal structure of BaZr2Ti3Pb4O15.

Properties
The formation energy (no corrections) is -2.499 eV/atom.

POSCAR file:
```
BaZr2Ti3Pb4O15
1.0
4.4410 0.0000 0.0000
0.0000 4.0431 0.0000
-0.0399 0.0000 19.9948
Ba Zr Ti Pb O
1 2 3 4 15
direct
0.0000 0.0000 0.0000
0.4956 0.5000 0.8945
0.5059 0.5000 0.6845
0.5153 0.5000 0.4836
0.5192 0.5000 0.0981
0.5194 0.5000 0.2913
0.0697 0.0000 0.5784
0.0699 0.0000 0.7865
0.0726 0.0000 0.3863
0.0820 0.0000 0.1949
0.4037 0.0000 0.6854
0.4093 0.0000 0.8933
0.4132 0.5000 0.3881
0.4128 0.5000 0.5794
0.4159 0.5000 0.1963
0.4169 0.5000 0.7892
0.4241 0.0000 0.4847
0.4298 0.0000 0.2926
0.4433 0.0000 0.1003
0.4529 0.5000 0.0023
0.9105 0.5000 0.4850
0.9139 0.5000 0.2923
0.9182 0.5000 0.0980
0.9454 0.5000 0.8992
0.9506 0.5000 0.6869
```

# 18
DFT (GGA-PBE) results for an optimized crystal structure of Li4SmDy3Se8.

Properties
The formation energy (no corrections) is -1.692 eV/atom.

POSCAR file:
```
Li4SmDy3Se8
1.0
4.0916 2.3623 6.5050
-4.0916 2.3623 6.5050
0.0000 -4.7245 6.5050
Li Sm Dy Se
4 1 3 8
direct
0.0000 0.0000 0.0000
0.0000 0.5000 0.5000
0.5000 0.0000 0.5000
0.5000 0.5000 0.0000
0.5000 0.5000 0.5000
0.0000 0.0000 0.5000
0.0000 0.5000 0.0000
0.5000 0.0000 0.0000
0.2462 0.2462 0.7529
0.2462 0.7529 0.2462
0.2471 0.7538 0.7538
0.2508 0.2508 0.2508
0.7492 0.7492 0.7492
0.7529 0.2462 0.2462
0.7538 0.2471 0.7538
0.7538 0.7538 0.2471
```

# 19
DFT (GGA-PBE) results for an optimized crystal structure of Ac4IrPt3.

Properties
The value obtained for the total energy is -6.44 eV/atom.

POSCAR file:
```
Ac4IrPt3
1.0
4.3750 -6.1758 0.0000
4.3750 6.1758 0.0000
0.0000 0.0000 4.3748
Ac Ir Pt
4 1 3
direct
0.2421 0.2421 0.5000
0.2457 0.7543 0.0000
0.7543 0.2457 0.0000
0.7579 0.7579 0.5000
0.0000 0.0000 0.0000
0.0000 0.5000 0.5000
0.5000 0.0000 0.5000
0.5000 0.5000 0.0000
```

# 20
DFT (GGA-PBE) results for an optimized crystal structure of Ti2Mn2Pt.

Properties
The value obtained for the total energy is -8.37 eV/atom.

POSCAR file:
```
Ti2Mn2Pt
1.0
1.8050 -6.7969 0.0000
1.8050 6.7969 0.0000
0.0000 0.0000 2.8666
Ti Mn Pt
2 2 1
direct
0.1157 0.8843 0.0000
0.8843 0.1157 0.0000
0.2923 0.7077 0.5000
0.7077 0.2923 0.5000
0.5000 0.5000 0.5000
```

# 21
DFT (GGA-PBE) results for an optimized crystal structure of Tb3MgNi.

Properties
The value obtained for the total energy is -4.41 eV/atom.

POSCAR file:
```
Tb3MgNi
1.0
4.9198 -3.3374 0.0000
4.9198 3.3374 0.0000
-4.5035 0.0000 7.8736
Tb Mg Ni
6 2 2
direct
0.0652 0.0652 0.2492
0.3018 0.3018 0.7032
0.3057 0.3057 0.0916
0.6943 0.6943 0.9084
0.6982 0.6982 0.2968
0.9348 0.9348 0.7508
0.2902 0.7098 0.5000
0.7098 0.2902 0.5000
0.2876 0.7124 0.0000
0.7124 0.2876 0.0000
```

# 22
DFT (GGA-PBE) results for an optimized crystal structure of Pm3Nd5Cd2.

Properties
The value obtained for the total energy is -3.85 eV/atom.

POSCAR file:
```
Pm3Nd5Cd2
1.0
-6.6978 7.5377 3.3918
6.6978 -7.5377 3.3918
6.6978 7.5377 -3.3918
Pm Nd Cd
6 10 4
direct
0.2257 0.1384 0.3642
0.2500 0.2500 0.0000
0.2743 0.6384 0.9127
0.7257 0.3616 0.0873
0.7500 0.7500 0.0000
0.7743 0.8616 0.6358
0.1699 0.4002 0.5701
0.2500 0.5049 0.2549
0.2500 0.7500 0.5000
0.2500 0.9951 0.7451
0.3301 0.9002 0.2303
0.6699 0.0998 0.7697
0.7500 0.0049 0.2549
0.7500 0.2500 0.5000
0.7500 0.4951 0.7451
0.8301 0.5998 0.4299
0.1383 0.8704 0.0087
0.3617 0.3704 0.7321
0.6383 0.6296 0.2679
0.8617 0.1296 0.9913
```